(1)
Entry from OQMD: a relaxed structure of NbAl2Pd (PBE).

Lattice parameters (Å, degrees): 4.5559 4.5559 4.5559 124.60 124.60 82.20
Closest atoms and distances in Å follow each position.
Sites, in units of the cell vectors:
Nb  0.0000  0.0000  0.0000  8 Al 2.73, 4 Pd 2.99
Al  0.2500  0.7500  0.5000  4 Nb 2.73, 4 Pd 2.73, 4 Al 2.99
Al  0.7500  0.2500  0.5000  4 Nb 2.73, 4 Pd 2.73, 4 Al 2.99
Pd  0.5000  0.5000  0.0000  8 Al 2.73, 4 Nb 2.99

Values from the calculation:
The value obtained for the final energy is -6.028 eV/atom.

(2)
Entry from OQMD: a relaxed structure of Zr2FeBi (PBE).

Lattice parameters (Å, degrees): 4.8572 4.8572 4.8572 60.00 60.00 60.00
Closest atoms and distances in Å follow each position.
Sites, in units of the cell vectors:
Zr  0.0000  0.0000  0.0000  4 Fe 2.97, 4 Zr 2.97
Zr  0.2500  0.2500  0.2500  4 Zr 2.97, 4 Bi 2.97
Fe  0.7500  0.7500  0.7500  4 Zr 2.97, 4 Bi 2.97
Bi  0.5000  0.5000  0.5000  4 Fe 2.97, 4 Zr 2.97

Values from the calculation:
The value obtained for the final energy is -7.065 eV/atom.

(3)
Entry from OQMD: a relaxed structure of ScTaNiB (PBE).

Lattice parameters (Å, degrees): 4.2807 4.2807 4.2807 60.00 60.00 60.00
Closest atoms and distances in Å follow each position.
Sites, in units of the cell vectors:
Sc  0.0000  0.0000  0.0000  4 Ni 2.62, 4 Ta 2.62
Ta  0.2500  0.2500  0.2500  4 B 2.62, 4 Sc 2.62
Ni  0.7500  0.7500  0.7500  4 B 2.62, 4 Sc 2.62
B  0.5000  0.5000  0.5000  4 Ta 2.62, 4 Ni 2.62

Values from the calculation:
The value obtained for the final energy is -6.970 eV/atom.

(4)
Entry from OQMD: a relaxed structure of LuCdCuGe (PBE).

Lattice parameters (Å, degrees): 4.8041 4.8041 4.8041 60.00 60.00 60.00
Closest atoms and distances in Å follow each position.
Sites, in units of the cell vectors:
Lu  0.0000  0.0000  0.0000  4 Cd 2.94, 4 Cu 2.94
Cd  0.2500  0.2500  0.2500  4 Ge 2.94, 4 Lu 2.94
Cu  0.7500  0.7500  0.7500  4 Ge 2.94, 4 Lu 2.94
Ge  0.5000  0.5000  0.5000  4 Cu 2.94, 4 Cd 2.94

Values from the calculation:
The value obtained for the final energy is -3.497 eV/atom.

(5)
Entry from OQMD: a relaxed structure of SrTl2Pd (PBE).

Lattice parameters (Å, degrees): 6.0347 6.0347 8.4243 90.00 90.00 136.03
Closest atoms and distances in Å follow each position.
Sites, in units of the cell vectors:
Sr  0.0649  0.9351  0.7500  3 Pd 3.18-3.31, 4 Tl 3.52
Sr  0.9351  0.0649  0.2500  3 Pd 3.18-3.31, 4 Tl 3.52
Tl  0.3537  0.6463  0.5512  3 Pd 2.93-2.95
Tl  0.3537  0.6463  0.9488  3 Pd 2.93-2.95
Tl  0.6463  0.3537  0.0512  3 Pd 2.93-2.95
Tl  0.6463  0.3537  0.4488  3 Pd 2.93-2.95
Pd  0.2195  0.7805  0.2500  6 Tl 2.93-2.95, 1 Sr 3.18
Pd  0.7805  0.2195  0.7500  6 Tl 2.93-2.95, 1 Sr 3.18

Values from the calculation:
The value obtained for the final energy is -3.333 eV/atom.

(6)
Entry from OQMD: a relaxed structure of LaPr2B2Ir2N3 (PBE).

Lattice parameters (Å, degrees): 10.5840 10.5840 10.5840 159.24 159.24 29.53
Closest atoms and distances in Å follow each position.
Sites, in units of the cell vectors:
La  0.0000  0.0000  0.0000  6 N 2.49-2.70
Pr  0.3753  0.3753  0.0000  5 N 2.55-2.70
Pr  0.6247  0.6247  0.0000  5 N 2.55-2.70
B  0.1944  0.1944  0.0000  1 N 1.49
B  0.8056  0.8056  0.0000  1 N 1.49
Ir  0.2500  0.7500  0.5000  4 B 2.22
Ir  0.7500  0.2500  0.5000  4 B 2.22
N  0.1215  0.1215  0.0000  1 B 1.49
N  0.5000  0.5000  0.0000  2 Pr 2.55, 4 La 2.70
N  0.8785  0.8785  0.0000  1 B 1.49

Values from the calculation:
The value obtained for the final energy is -8.185 eV/atom.

(7)
Entry from OQMD: a relaxed structure of LiTlPdPb (PBE).

Lattice parameters (Å, degrees): 4.8916 4.8916 4.8916 60.00 60.00 60.00
Closest atoms and distances in Å follow each position.
Sites, in units of the cell vectors:
Li  0.0000  0.0000  0.0000  4 Pb 3.00, 4 Tl 3.00
Tl  0.2500  0.2500  0.2500  4 Li 3.00, 4 Pd 3.00
Pd  0.5000  0.5000  0.5000  4 Tl 3.00, 4 Pb 3.00
Pb  0.7500  0.7500  0.7500  4 Li 3.00, 4 Pd 3.00

Values from the calculation:
The value obtained for the final energy is -3.524 eV/atom.

(8)
Entry from OQMD: a relaxed structure of AsPt15 (PBE).

Lattice parameters (Å, degrees): 7.9386 44.4998 3.9411 90.00 90.00 90.00
Closest atoms and distances in Å follow each position.
Sites, in units of the cell vectors:
As  0.1865  0.1659  0.0000  5 Pt 2.51-2.72
As  0.1865  0.8341  0.5000  5 Pt 2.51-2.72
As  0.8135  0.1659  0.5000  5 Pt 2.51-2.72
As  0.8135  0.8341  0.0000  5 Pt 2.51-2.72
Pt  0.1186  0.2063  0.5000  3 As 2.72-3.02, 9 Pt 2.73-2.98
Pt  0.1186  0.7937  0.0000  3 As 2.72-3.02, 9 Pt 2.73-2.98
Pt  0.1202  0.2544  0.0000  12 Pt 2.74-2.91
Pt  0.1202  0.7456  0.5000  12 Pt 2.74-2.91
Pt  0.1220  0.3002  0.5000  12 Pt 2.76-2.84
Pt  0.1220  0.6998  0.0000  12 Pt 2.76-2.84
Pt  0.1253  0.4332  0.0000  12 Pt 2.79-2.80
Pt  0.1247  0.4777  0.5000  12 Pt 2.79-2.80
Pt  0.1247  0.5223  0.0000  12 Pt 2.79-2.80
Pt  0.1253  0.5668  0.5000  12 Pt 2.79-2.80
Pt  0.1259  0.3449  0.0000  12 Pt 2.78-2.81
Pt  0.1259  0.3889  0.5000  12 Pt 2.78-2.82
Pt  0.1259  0.6111  0.0000  12 Pt 2.78-2.82
Pt  0.1259  0.6551  0.5000  12 Pt 2.78-2.81
Pt  0.3711  0.2558  0.5000  12 Pt 2.77-2.98
Pt  0.3711  0.7442  0.0000  12 Pt 2.77-2.98
Pt  0.3718  0.2996  0.0000  12 Pt 2.77-2.84
Pt  0.3718  0.7004  0.5000  12 Pt 2.77-2.84
Pt  0.3728  0.2118  0.0000  1 As 2.52, 6 Pt 2.76-2.82
Pt  0.3728  0.7882  0.5000  1 As 2.52, 6 Pt 2.76-2.82
Pt  0.3754  0.4333  0.5000  12 Pt 2.79-2.80
Pt  0.3747  0.4778  0.0000  12 Pt 2.79-2.80
Pt  0.3747  0.5222  0.5000  12 Pt 2.79-2.80
Pt  0.3754  0.5667  0.0000  12 Pt 2.79-2.80
Pt  0.3758  0.3440  0.5000  12 Pt 2.79-2.82
Pt  0.3759  0.3888  0.0000  12 Pt 2.78-2.80
Pt  0.3759  0.6112  0.5000  12 Pt 2.78-2.80
Pt  0.3758  0.6560  0.0000  12 Pt 2.79-2.82
Pt  0.3825  0.1651  0.5000  2 As 2.51, 3 Pt 2.71-2.78
Pt  0.3825  0.8349  0.0000  2 As 2.51, 3 Pt 2.71-2.78
Pt  0.6175  0.1651  0.0000  2 As 2.51, 3 Pt 2.71-2.78
Pt  0.6175  0.8349  0.5000  2 As 2.51, 3 Pt 2.71-2.78
Pt  0.6242  0.3440  0.0000  12 Pt 2.79-2.82
Pt  0.6241  0.3888  0.5000  12 Pt 2.78-2.80
Pt  0.6241  0.6112  0.0000  12 Pt 2.78-2.80
Pt  0.6242  0.6560  0.5000  12 Pt 2.79-2.82
Pt  0.6246  0.4333  0.0000  12 Pt 2.79-2.80
Pt  0.6253  0.4778  0.5000  12 Pt 2.79-2.80
Pt  0.6253  0.5222  0.0000  12 Pt 2.79-2.80
Pt  0.6246  0.5667  0.5000  12 Pt 2.79-2.80
Pt  0.6272  0.2118  0.5000  1 As 2.52, 6 Pt 2.76-2.82
Pt  0.6272  0.7882  0.0000  1 As 2.52, 6 Pt 2.76-2.82
Pt  0.6282  0.2996  0.5000  12 Pt 2.77-2.84
Pt  0.6282  0.7004  0.0000  12 Pt 2.77-2.84
Pt  0.6289  0.2558  0.0000  12 Pt 2.77-2.98
Pt  0.6289  0.7442  0.5000  12 Pt 2.77-2.98
Pt  0.8741  0.3449  0.5000  12 Pt 2.78-2.81
Pt  0.8741  0.3889  0.0000  12 Pt 2.78-2.82
Pt  0.8741  0.6111  0.5000  12 Pt 2.78-2.82
Pt  0.8741  0.6551  0.0000  12 Pt 2.78-2.81
Pt  0.8747  0.4332  0.5000  12 Pt 2.79-2.80
Pt  0.8753  0.4777  0.0000  12 Pt 2.79-2.80
Pt  0.8753  0.5223  0.5000  12 Pt 2.79-2.80
Pt  0.8747  0.5668  0.0000  12 Pt 2.79-2.80
Pt  0.8780  0.3002  0.0000  12 Pt 2.76-2.84
Pt  0.8780  0.6998  0.5000  12 Pt 2.76-2.84
Pt  0.8798  0.2544  0.5000  12 Pt 2.74-2.91
Pt  0.8798  0.7456  0.0000  12 Pt 2.74-2.91
Pt  0.8814  0.2063  0.0000  3 As 2.72-3.02, 9 Pt 2.73-2.98
Pt  0.8814  0.7937  0.5000  3 As 2.72-3.02, 9 Pt 2.73-2.98

Values from the calculation:
The value obtained for the final energy is -5.954 eV/atom.

Question: Number 5 is which compound?
Answer: SrTl2Pd

Question: What is the formula in the seventh record?
Answer: LiTlPdPb

Question: Look up the final energy of the seventh one.
Answer: -3.524 eV/atom